[1]
Density functional theory data (PBE) for crystalline Sr2CaAl2 at its relaxed geometry.

abc: 10.311 4.809 6.930
angles: 90.00 92.96 90.00
Fractional coordinates of all 10 atoms:
1 Sr 0.148 0.000 0.349
2 Sr 0.352 0.500 0.651
3 Sr 0.648 0.500 0.349
4 Sr 0.852 0.000 0.651
5 Ca 0.000 0.500 0.000
6 Ca 0.500 0.000 0.000
7 Al 0.200 0.000 0.883
8 Al 0.300 0.500 0.117
9 Al 0.700 0.500 0.883
10 Al 0.800 0.000 0.117

Properties
N(E_F), states/eV/cell: 7.6
Energy relative to the lowest polymorph listed for this composition, meV/atom: 21

[2]
Density functional theory data (PBE) for crystalline Sr2CaAl at its relaxed geometry.

abc: 4.047 4.047 35.129
angles: 90.00 90.00 120.00
Fractional coordinates of all 12 atoms:
1 Sr 0.000 0.000 0.000
2 Sr 0.000 0.000 0.197
3 Sr 0.333 0.667 0.667
4 Sr 0.333 0.667 0.864
5 Sr 0.667 0.333 0.333
6 Sr 0.667 0.333 0.530
7 Ca 0.000 0.000 0.432
8 Ca 0.333 0.667 0.099
9 Ca 0.667 0.333 0.766
10 Al 0.000 0.000 0.598
11 Al 0.333 0.667 0.265
12 Al 0.667 0.333 0.932

Properties
N(E_F), states/eV/cell: 13.5

[3]
Density functional theory data (PBE) for crystalline SrCaAl2 at its relaxed geometry.

abc: 8.617 8.617 6.829
angles: 90.00 90.00 90.00
Fractional coordinates of all 16 atoms:
1 Sr 0.000 0.000 0.000
2 Sr 0.000 0.500 0.250
3 Sr 0.500 0.000 0.750
4 Sr 0.500 0.500 0.500
5 Ca 0.000 0.000 0.500
6 Ca 0.000 0.500 0.750
7 Ca 0.500 0.000 0.250
8 Ca 0.500 0.500 0.000
9 Al 0.235 0.250 0.625
10 Al 0.250 0.735 0.875
11 Al 0.250 0.765 0.375
12 Al 0.265 0.250 0.125
13 Al 0.735 0.750 0.125
14 Al 0.750 0.235 0.375
15 Al 0.750 0.265 0.875
16 Al 0.765 0.750 0.625

Properties
N(E_F), states/eV/cell: 18.0

[4]
Density functional theory data (PBE) for crystalline SrCa6Al6 at its relaxed geometry.

abc: 8.292 8.292 8.292
angles: 137.34 97.67 97.54
Fractional coordinates of all 13 atoms:
1 Sr 0.000 0.000 0.000
2 Ca 0.180 0.680 0.500
3 Ca 0.327 0.000 0.327
4 Ca 0.347 0.347 0.000
5 Ca 0.653 0.653 0.000
6 Ca 0.673 0.000 0.673
7 Ca 0.820 0.320 0.500
8 Al 0.000 0.000 0.500
9 Al 0.000 0.500 0.000
10 Al 0.232 0.500 0.732
11 Al 0.500 0.000 0.000
12 Al 0.500 0.500 0.500
13 Al 0.768 0.500 0.268

Properties
N(E_F), states/eV/cell: 12.2

Number 1: ΔH_f (0 K) -85 meV/atom. Number 2: ΔH_f (0 K) 81 meV/atom. Number 3: ΔH_f (0 K) 284 meV/atom. Number 4: ΔH_f (0 K) -114 meV/atom.